(1)
VASP calculation (PBE) on an optimized crystal structure of Sc2InFe.

Summary:
Density: 5.36 Mg/m³
Total DFT energy (no corrections): -5.83 eV per atom
Total magnetic moment: 0.000 μB per cell
SG: I-42d
Formation enthalpy at 0 K: 0.138 eV per atom

Lattice parameters (Å, degrees): 7.5937 7.5937 6.0550 51.17 51.17 90.00
Positions (direct):
Sc  0.5556  0.1250  0.2500
Sc  0.1944  0.6250  0.2500
Sc  0.3750  0.4444  0.7500
Sc  0.8750  0.8056  0.7500
Fe  0.5000  0.5000  0.0000
Fe  0.2500  0.7500  0.5000
In  0.0000  0.0000  0.0000
In  0.7500  0.2500  0.5000

=====

(2)
VASP calculation (PBE) on an optimized crystal structure of Sc2InFe.

Summary:
Density: 5.46 Mg/m³
Total DFT energy (no corrections): -6.08 eV per atom
Total magnetic moment: 0.935 μB per cell
SG: Cm
Formation enthalpy at 0 K: -0.114 eV per atom

Lattice parameters (Å, degrees): 5.8348 5.8348 4.8459 65.60 65.60 32.12
Last column: magnetic moment on the atom in μB.
Positions (direct):
Fe  0.5008  0.5008  0.5013  1.84
In  0.2140  0.2140  0.2847  -0.02
Sc  0.9934  0.9934  0.0064  -0.32
Sc  0.7918  0.7918  0.7075  -0.24

=====

(3)
VASP calculation (PBE) on an optimized crystal structure of ScIn2Fe2.

Summary:
Density: 6.70 Mg/m³
Total DFT energy (no corrections): -5.57 eV per atom
Total magnetic moment: 3.638 μB per cell
Distance to the lowest polymorph of the same formula: 80 meV per atom
SG: I4/mmm
Formation enthalpy at 0 K: 0.174 eV per atom

Lattice parameters (Å, degrees): 4.2508 4.2508 6.0931 69.58 69.58 90.00
Last column: magnetic moment on the atom in μB.
Positions (direct):
Sc  0.0000  0.0000  0.0000  -0.25
Fe  0.4037  0.4037  0.1926  2.00
Fe  0.5963  0.5963  0.8074  2.00
In  0.7500  0.2500  0.5000  -0.04
In  0.2500  0.7500  0.5000  -0.04

=====

(4)
VASP calculation (PBE) on an optimized crystal structure of Sc2InFe.

Summary:
Density: 5.41 Mg/m³
Total DFT energy (no corrections): -6.00 eV per atom
Total magnetic moment: 2.846 μB per cell
SG: P4mm
Formation enthalpy at 0 K: -0.036 eV per atom

Lattice parameters (Å, degrees): 3.3024 3.3024 7.3354 90.00 90.00 90.00
Last column: magnetic moment on the atom in μB.
Positions (direct):
Fe  0.0000  0.0000  0.5016  2.14
In  0.5000  0.5000  0.7113  -0.06
Sc  0.0000  0.0000  0.9887  0.49
Sc  0.5000  0.5000  0.2985  -0.04

=====

(5)
VASP calculation (PBE) on an optimized crystal structure of Sc2In2Fe.

Summary:
Density: 5.95 Mg/m³
Total DFT energy (no corrections): -5.27 eV per atom
Total magnetic moment: 0.326 μB per cell
SG: P4/mbm
Formation enthalpy at 0 K: 0.051 eV per atom

Lattice parameters (Å, degrees): 7.0486 7.0486 4.2179 90.00 90.00 90.00
Positions (direct):
Sc  0.1686  0.6686  0.5000
Sc  0.6686  0.8314  0.5000
Sc  0.8314  0.3314  0.5000
Sc  0.3314  0.1686  0.5000
Fe  0.0000  0.0000  0.0000
Fe  0.5000  0.5000  0.0000
In  0.3568  0.8568  0.0000
In  0.8568  0.6432  0.0000
In  0.6432  0.1432  0.0000
In  0.1432  0.3568  0.0000

=====

(6)
VASP calculation (PBE) on an optimized crystal structure of Sc2InFe.

Summary:
Density: 5.21 Mg/m³
Total DFT energy (no corrections): -5.82 eV per atom
Total magnetic moment: 2.294 μB per cell
SG: R3m
Formation enthalpy at 0 K: 0.145 eV per atom

Lattice parameters (Å, degrees): 9.4600 9.4600 9.4600 19.57 19.57 19.57
Last column: magnetic moment on the atom in μB.
Positions (direct):
Fe  0.5004  0.5004  0.5004  2.20
In  0.7599  0.7599  0.7599  -0.04
Sc  0.0025  0.0025  0.0025  0.27
Sc  0.2371  0.2371  0.2371  -0.21

=====

(7)
VASP calculation (PBE) on an optimized crystal structure of Sc2InFe.

Summary:
Density: 5.72 Mg/m³
Total DFT energy (no corrections): -6.27 eV per atom
Total magnetic moment: 0.000 μB per cell
SG: Pmmm
Formation enthalpy at 0 K: -0.309 eV per atom

Lattice parameters (Å, degrees): 3.1771 3.1977 8.1061 66.72 90.00 90.00
Positions (direct):
Sc  0.0000  0.9500  0.0500
Sc  0.0000  0.5500  0.4500
Fe  0.5000  0.2500  0.2500
In  0.5000  0.7500  0.7500

=====

(8)
VASP calculation (PBE) on an optimized crystal structure of Sc2InFe.

Summary:
Density: 5.34 Mg/m³
Total DFT energy (no corrections): -6.06 eV per atom
Total magnetic moment: 1.555 μB per cell
SG: Pm
Formation enthalpy at 0 K: -0.099 eV per atom

Lattice parameters (Å, degrees): 4.5742 3.2375 5.6908 73.98 90.00 90.00
Last column: magnetic moment on the atom in μB.
Positions (direct):
Fe  0.0000  0.6993  0.4703  2.41
In  0.5000  0.5581  0.7639  0.01
Sc  0.0000  0.9645  0.9538  -0.22
Sc  0.5000  0.2782  0.3119  -0.32

=====

(9)
VASP calculation (PBE) on an optimized crystal structure of Sc2InFe.

Summary:
Density: 5.52 Mg/m³
Total DFT energy (no corrections): -6.11 eV per atom
Total magnetic moment: 1.239 μB per cell
SG: P4/mmm
Formation enthalpy at 0 K: -0.146 eV per atom

Lattice parameters (Å, degrees): 4.7368 4.7381 5.8897 36.40 90.00 90.00
Last column: magnetic moment on the atom in μB.
Positions (direct):
Fe  0.5000  0.5000  0.5000  2.14
In  0.0000  0.0000  0.5000  -0.02
Sc  0.0000  0.0000  0.0000  -0.29
Sc  0.5000  0.5000  0.0000  -0.29

=====

(10)
VASP calculation (PBE) on an optimized crystal structure of Sc12In3Fe.

Summary:
Density: 4.35 Mg/m³
Total DFT energy (no corrections): -5.98 eV per atom
Total magnetic moment: 2.180 μB per cell
SG: P4/mmm
Formation enthalpy at 0 K: -0.186 eV per atom

Lattice parameters (Å, degrees): 4.5005 4.5005 17.7220 90.00 90.00 90.00
Last column: magnetic moment on the atom in μB.
Positions (direct):
Sc  0.5000  0.5000  0.0000  0.23
Sc  0.5000  0.5000  0.2437  0.26
Sc  0.5000  0.5000  0.5000  0.33
Sc  0.5000  0.5000  0.7563  0.26
Sc  0.5000  0.0000  0.1113  0.21
Sc  0.5000  0.0000  0.3713  0.33
Sc  0.5000  0.0000  0.6287  0.33
Sc  0.5000  0.0000  0.8887  0.21
Sc  0.0000  0.5000  0.1113  0.21
Sc  0.0000  0.5000  0.3713  0.33
Sc  0.0000  0.5000  0.6287  0.33
Sc  0.0000  0.5000  0.8887  0.21
In  0.0000  0.0000  0.2435  -0.03
In  0.0000  0.0000  0.5000  -0.03
In  0.0000  0.0000  0.7565  -0.03
Fe  0.0000  0.0000  0.0000  -2.40

=====

(11)
VASP calculation (PBE) on an optimized crystal structure of Sc2InFe.

Summary:
Density: 5.54 Mg/m³
Total DFT energy (no corrections): -6.05 eV per atom
Total magnetic moment: 1.424 μB per cell
SG: I-4m2
Formation enthalpy at 0 K: -0.082 eV per atom

Lattice parameters (Å, degrees): 5.3462 5.3462 5.3462 133.89 133.89 67.26
Last column: magnetic moment on the atom in μB.
Positions (direct):
Fe  0.5000  0.5000  0.0000  2.35
In  0.7500  0.2500  0.5000  -0.01
Sc  0.0000  0.0000  0.0000  -0.35
Sc  0.2500  0.7500  0.5000  -0.24

=====

(12)
VASP calculation (PBE) on an optimized crystal structure of ScInFe2W.

Summary:
Density: 7.18 Mg/m³
Total DFT energy (no corrections): -5.86 eV per atom
Total magnetic moment: 0.821 μB per cell
SG: P4/mmm
Formation enthalpy at 0 K: 1.933 eV per atom

Lattice parameters (Å, degrees): 4.5986 4.9801 4.5986 90.00 90.00 90.00
Last column: magnetic moment on the atom in μB.
Positions (direct):
Sc  0.5000  0.5000  0.5000  0.14
Fe  0.0000  0.0000  0.5000  -0.31
Fe  0.5000  0.0000  0.0000  -0.18
W  0.0000  0.5000  0.0000  0.83
In  0.0000  0.0000  0.0000  0.01

=====

(13)
VASP calculation (PBE) on an optimized crystal structure of InFeSe2.

Summary:
Density: 6.62 Mg/m³
Total DFT energy (no corrections): -4.49 eV per atom
Total magnetic moment: 2.443 μB per cell
Formation energy (no corrections): 51 meV/atom
SG: P4/mmm

Lattice parameters (Å, degrees): 3.1037 3.1037 8.5562 90.00 90.00 90.00
Last column: magnetic moment on the atom in μB.
Positions (direct):
Fe  0.5000  0.5000  0.2500  2.51
In  0.5000  0.5000  0.7500  0.01
Se  0.0000  0.0000  0.0754  -0.05
Se  0.0000  0.0000  0.4246  -0.05

=====

(14)
VASP calculation (PBE) on an optimized crystal structure of InFeSe4.

Summary:
Density: 5.91 Mg/m³
Total DFT energy (no corrections): -3.50 eV per atom
Total magnetic moment: 3.638 μB per cell
Formation energy (no corrections): 686 meV/atom
SG: F-43m

Lattice parameters (Å, degrees): 5.7821 5.7821 5.7821 60.00 60.00 60.00
Last column: magnetic moment on the atom in μB.
Positions (direct):
In  0.0000  0.0000  0.0000  0.02
Fe  0.7500  0.7500  0.7500  3.27
Se  0.8720  0.3760  0.3760  0.03
Se  0.3760  0.3760  0.8720  0.03
Se  0.3760  0.8720  0.3760  0.03
Se  0.3760  0.3760  0.3760  0.03